A relaxed Ba2LaC3O9F crystal, computed with PBE-GGA.

E_form (uncorrected) ... -2438 meV per atom
Density ... 4.490 Mg/m³
Uncorrected energy ... -7.62 eV/atom

a b c (Å): 6.7249 5.1782 13.3297
angles (deg): 90.00 102.55 90.00
With the nearest neighbours (Å) after each atom.
Space group P2_1/m (No. 11)
Unique sites:
Ba (0.2152, 0.2500, 0.4250) x2  3 F 2.76-2.92, 7 O 2.80-2.92
Ba (0.2726, 0.2500, 0.0833) x2  9 O 2.70-2.96
La (0.2266, 0.2500, 0.7383) x2  1 F 2.43, 7 O 2.53-2.69
C (0.2152, 0.7500, 0.2274) x2  3 O 1.29-1.30
C (0.2544, 0.7500, 0.9266) x2  3 O 1.29-1.30
C (0.3315, 0.7500, 0.6279) x2  3 O 1.29-1.31
O (0.1223, 0.5343, 0.2380) x4  1 C 1.30
O (0.1353, 0.7500, 0.9904) x2  1 C 1.29
O (0.1918, 0.7500, 0.6828) x2  1 C 1.31
O (0.3212, 0.5324, 0.8972) x4  1 C 1.30
O (0.3903, 0.7500, 0.2024) x2  1 C 1.29
O (0.4012, 0.5313, 0.6037) x4  1 C 1.29
F (0.0138, 0.7500, 0.4266) x2  1 La 2.43